# 1
HSeSCl2, optimized geometry, DFT GGA-PBE; magnetization = 1.01 μB per cell; energy above the lowest structure with this stoichiometry = 0.112 eV per atom; DOS at the Fermi energy = 0.177 states/eV per atom; V = 122.12 Å³/f.u.; final energy = -0.1681 Ry/atom
1.0
5.0928 0.0000 0.0000
0.0000 5.0928 0.0000
0.0000 0.0000 4.7084
H Se S Cl
1 1 1 2
Cartesian
0.0000 0.0000 0.0000 H
2.5464 2.5464 2.3542 Se
2.5464 2.5464 0.0000 S
0.0000 2.5464 2.3542 Cl
2.5464 0.0000 2.3542 Cl

# 2
BaLi6Ca6, optimized geometry, DFT GGA-PBE; magnetization = 0.00 μB per cell; DOS at the Fermi energy = 0.791 states/eV per atom; V = 442.42 Å³/f.u.; final energy = -0.1415 Ry/atom; formation enthalpy at 0 K = 0.030 eV per atom
1.0
-3.2898 5.7979 5.7988
3.2898 -5.7979 5.7988
3.2898 5.7979 -5.7988
Ba Li Ca
1 6 6
Cartesian
0.0000 0.0000 0.0000 Ba
1.6449 2.8989 -2.8994 Li
1.6449 -2.8989 2.8994 Li
3.2898 0.0000 2.6902 Li
-1.6449 2.8989 2.8994 Li
1.6449 2.8989 2.8994 Li
0.0000 5.7979 3.1086 Li
3.2898 2.1605 0.0000 Ca
0.0000 0.0000 3.9753 Ca
0.0000 4.0204 0.0000 Ca
0.0000 7.5753 0.0000 Ca
0.0000 0.0000 7.6222 Ca
0.0000 3.6373 5.7988 Ca